Record 1
First-principles (PBE) data for crystalline Dy8Bi2Sb at its relaxed geometry, as listed in Alexandria via LeMat-Bulk.

Cell lengths 9.599, 9.599, 6.919 Å; angles 92.50, 92.50, 31.30 degrees
Fractional positions:
Dy (0.031, 0.031, 0.249)
Dy (0.217, 0.217, 0.134)
Dy (0.339, 0.339, 0.585)
Dy (0.407, 0.407, 0.063)
Dy (0.593, 0.593, 0.937)
Dy (0.661, 0.661, 0.415)
Dy (0.783, 0.783, 0.866)
Dy (0.969, 0.969, 0.751)
Bi (0.168, 0.168, 0.679)
Bi (0.832, 0.832, 0.321)
Sb (0.500, 0.500, 0.500)

Results
Mass density ... 9232 kg/m³
Energy ... -4.86 eV/atom

=====

Record 2
First-principles (PBE) data for crystalline Si2NiS2 at its relaxed geometry, as listed in Alexandria via LeMat-Bulk.

Cell lengths 6.458, 6.458, 3.896 Å; angles 90.00, 90.00, 90.00 degrees
Fractional positions:
Si (0.132, 0.368, 0.000)
Si (0.368, 0.868, 0.000)
Si (0.632, 0.132, 0.000)
Si (0.868, 0.632, 0.000)
Ni (0.000, 0.000, 0.000)
Ni (0.500, 0.500, 0.000)
S (0.243, 0.257, 0.500)
S (0.257, 0.757, 0.500)
S (0.743, 0.243, 0.500)
S (0.757, 0.743, 0.500)

Results
Mass density ... 3658 kg/m³
Excess energy over the best structure of this formula in the dataset ... 0.032 eV per atom

=====

Record 3
First-principles (PBE) data for crystalline FeAg2 at its relaxed geometry, as listed in Alexandria via LeMat-Bulk.

Cell lengths 6.160, 6.160, 6.160 Å; angles 90.00, 90.00, 90.00 degrees
Fractional positions:
Fe (0.000, 0.000, 0.000)
Fe (0.000, 0.500, 0.500)
Fe (0.500, 0.000, 0.500)
Fe (0.500, 0.500, 0.000)
Ag (0.133, 0.633, 0.867)
Ag (0.133, 0.867, 0.367)
Ag (0.367, 0.133, 0.867)
Ag (0.367, 0.367, 0.367)
Ag (0.633, 0.633, 0.633)
Ag (0.633, 0.867, 0.133)
Ag (0.867, 0.133, 0.633)
Ag (0.867, 0.367, 0.133)

Results
Mass density ... 7718 kg/m³
Formation energy from the elements ... 893 meV per atom